Entry 1:
A geometry-optimized Hf3WS structure. Source: the Alexandria database, functional GGA-PBE.

abc: 5.069 5.069 5.069
angles: 90.00 90.00 90.00
Fractional positions:
W1 0.000 0.000 0.000
Hf1 0.000 0.500 0.000
Hf2 0.500 0.000 0.000
Hf3 0.000 0.000 0.500
S1 0.500 0.500 0.500

Calculated values
formation energy from raw total energies: 976 meV/atom
excess energy over the best structure of this formula in the dataset: 0.9480 eV/atom
space-group type: No. 221

=====

Entry 2:
A geometry-optimized HfWS3 structure. Source: the Alexandria database, functional GGA-PBE.

abc: 4.636 4.636 4.636
angles: 90.00 90.00 90.00
Each line ends with the local moment (μB).
Fractional positions:
S1 0.500 0.000 0.000  -0.01
S2 0.000 0.000 0.500  -0.02
Hf1 0.500 0.500 0.500  0.56
W1 0.000 0.000 0.000  0.15
S3 0.000 0.500 0.000  -0.02

Calculated values
formation energy from raw total energies: 226 meV/atom
excess energy over the best structure of this formula in the dataset: 0.0000 eV/atom
space-group type: No. 221

=====

Entry 3:
A geometry-optimized Hf2WS structure. Source: the Alexandria database, functional GGA-PBE.

abc: 3.076 3.076 9.433
angles: 80.62 80.62 60.00
Fractional positions:
Hf1 0.098 0.098 0.705
S1 0.500 0.500 0.500
W1 0.000 0.000 0.000
Hf2 0.902 0.902 0.295

Calculated values
formation energy from raw total energies: 30 meV/atom
space-group type: No. 166

=====

Entry 4:
A geometry-optimized HfWS2 structure. Source: the Alexandria database, functional GGA-PBE.

abc: 4.640 4.640 7.862
angles: 72.84 72.84 90.00
Fractional positions:
S1 0.656 0.125 0.250
S2 0.094 0.625 0.250
W1 0.750 0.250 0.500
Hf1 0.500 0.500 0.000
S3 0.375 0.344 0.750
Hf2 0.250 0.750 0.500
W2 0.000 0.000 0.000
S4 0.875 0.906 0.750

Calculated values
formation energy from raw total energies: -295 meV/atom
excess energy over the best structure of this formula in the dataset: 0.0531 eV/atom
space-group type: No. 122

=====

Entry 5:
A geometry-optimized HfWS3 structure. Source: the Alexandria database, functional GGA-PBE.

abc: 4.869 4.869 4.869
angles: 90.00 90.00 90.00
Each line ends with the local moment (μB).
Fractional positions:
Hf1 0.000 0.000 0.000  0.07
S1 0.000 0.500 0.000  -0.12
W1 0.500 0.500 0.500  3.19
S2 0.500 0.000 0.000  -0.06
S3 0.000 0.000 0.500  -0.08

Calculated values
formation energy from raw total energies: 453 meV/atom
excess energy over the best structure of this formula in the dataset: 0.2264 eV/atom
space-group type: No. 221

=====

Entry 6:
A geometry-optimized HfWS2 structure. Source: the Alexandria database, functional GGA-PBE.

abc: 4.392 4.392 4.392
angles: 60.00 60.00 60.00
Fractional positions:
S1 0.750 0.750 0.750
Hf1 0.000 0.000 0.000
S2 0.250 0.250 0.250
W1 0.500 0.500 0.500

Calculated values
formation energy from raw total energies: -347 meV/atom
excess energy over the best structure of this formula in the dataset: 0.0011 eV/atom
space-group type: No. 225

=====

Entry 7:
A geometry-optimized HfZn2WS structure. Source: the Alexandria database, functional GGA-PBE.

abc: 5.238 4.701 5.238
angles: 90.00 90.00 90.00
Each line ends with the local moment (μB).
Fractional positions:
Hf1 0.000 0.000 0.000  -0.09
W1 0.500 0.500 0.500  3.22
S1 0.000 0.500 0.000  0.08
Zn1 0.000 0.000 0.500  0.01
Zn2 0.500 0.000 0.000  -0.02

Calculated values
formation energy from raw total energies: 1371 meV/atom
space-group type: No. 123

=====

Entry 8:
A geometry-optimized YHfS3 structure. Source: the Alexandria database, functional GGA-PBE.

abc: 6.506 6.575 6.575
angles: 120.00 90.00 90.00
Fractional positions:
S1 0.250 0.964 0.317
S2 0.750 0.352 0.317
S3 0.250 0.683 0.648
S4 0.750 0.964 0.648
Y1 0.500 0.000 0.000
Hf1 0.500 0.667 0.333
S5 0.250 0.352 0.036
Y2 0.000 0.000 0.000
S6 0.750 0.683 0.036
Hf2 0.000 0.667 0.333

Calculated values
formation energy from raw total energies: -1723 meV/atom
space-group type: No. 188